1.
VASP calculation (GGA-PBE) on CaPmPa2P4 after structural relaxation.

POSCAR file:
```
CaPmPa2P4
1.0
5.691 0.003 0.000
-0.003 5.691 0.000
-2.844 -2.847 5.733
Ca Pa P Pm
1 2 4 1
Cartesian
2.844 2.847 0.000
0.000 0.000 0.000
-0.001 2.846 2.866
2.844 2.847 2.952
-0.001 2.846 0.077
0.000 0.000 2.781
-0.001 2.846 5.655
2.846 0.001 2.866
```

- ΔH_f (0 K) (eV per atom) = -1.331
- total magnetic moment (μB per formula unit) = 0.01

=====

2.
VASP calculation (GGA-PBE) on SrTc2Os after structural relaxation.

POSCAR file:
```
SrTc2Os
1.0
7.552 0.000 0.000
0.000 7.552 0.000
3.776 3.776 2.993
Tc Os Sr
4 2 2
Cartesian
9.440 9.991 2.244
6.215 1.888 0.748
5.664 5.112 2.244
1.336 5.664 0.748
0.000 0.000 0.000
7.552 3.776 1.496
3.776 7.552 1.496
3.776 3.776 0.000
```

- ΔH_f (0 K) (eV per atom) = 0.955
- energy relative to the lowest polymorph listed for this composition (kJ/mol of atoms) = 33.27
- total magnetic moment (μB per formula unit) = 0.00

=====

3.
VASP calculation (GGA-PBE) on Cd4Hg6Bi after structural relaxation.

POSCAR file:
```
Cd4Hg6Bi
1.0
-0.002 -5.601 5.068
5.511 6.140 1.158
-1.870 3.893 4.302
Hg Cd Bi
6 4 1
Cartesian
-0.935 1.947 2.151
-0.001 -2.801 2.534
1.035 -2.043 5.316
3.168 5.301 3.916
0.473 1.065 4.862
2.604 4.540 6.963
0.531 -0.436 7.803
1.872 7.444 5.573
3.109 2.226 5.116
1.769 -0.371 2.565
0.000 0.000 0.000
```

- ΔH_f (0 K) (eV per atom) = 0.073
- total magnetic moment (μB per formula unit) = 0.00

=====

4.
VASP calculation (GGA-PBE) on Tb2CePmEr4 after structural relaxation.

POSCAR file:
```
Tb2CePmEr4
1.0
5.036 0.000 0.000
0.000 4.933 0.926
0.000 3.098 10.683
Pm Ce Er Tb
1 1 4 2
Cartesian
2.518 5.564 11.147
0.000 4.015 5.805
2.518 3.563 8.215
2.518 4.468 3.394
5.036 2.003 2.930
0.000 6.027 8.680
2.518 1.549 5.342
0.000 3.098 10.683
```

- ΔH_f (0 K) (eV per atom) = 0.045
- total magnetic moment (μB per formula unit) = 0.94

=====

5.
VASP calculation (GGA-PBE) on NiPt2Se after structural relaxation.

POSCAR file:
```
NiPt2Se
1.0
3.883 0.000 0.000
0.000 3.976 0.000
0.000 0.000 3.976
Ni Se Pt
1 1 2
Cartesian
1.942 0.000 1.988
1.942 1.988 0.000
0.000 0.000 0.000
0.000 1.988 1.988
```

- E_form (uncorrected) (eV/atom) = 0.23
- total magnetic moment (μB per formula unit) = 1.50

=====

6.
VASP calculation (GGA-PBE) on Li2PPt after structural relaxation.

POSCAR file:
```
Li2PPt
1.0
-1.277 -3.392 -0.050
2.043 -0.812 2.881
-2.981 1.086 2.420
Li Pt P
2 1 1
Cartesian
0.000 0.000 0.000
0.383 -2.102 1.415
-0.469 0.137 2.651
-2.129 -1.153 1.185
```

- ΔH_f (0 K) (eV per atom) = -0.588
- total magnetic moment (μB per formula unit) = 0.00

=====

7.
VASP calculation (GGA-PBE) on TaWAu2 after structural relaxation.

POSCAR file:
```
TaWAu2
1.0
2.845 0.000 0.000
0.000 4.294 0.000
0.000 0.000 5.616
Ta Au W
1 2 1
Cartesian
1.422 2.147 1.404
0.000 0.000 5.600
0.000 0.000 2.824
1.422 2.147 4.212
```

- ΔH_f (0 K) (eV per atom) = 0.228
- energy relative to the lowest polymorph listed for this composition (kJ/mol of atoms) = 15.10
- total magnetic moment (μB per formula unit) = 0.00

=====

8.
VASP calculation (GGA-PBE) on Ba2Mg6Si3 after structural relaxation.

POSCAR file:
```
Ba2Mg6Si3
1.0
4.620 0.000 0.000
0.000 7.338 -4.236
0.000 0.000 8.473
Si Mg Ba
3 6 2
Cartesian
2.310 0.000 5.373
2.310 4.653 -2.686
2.310 2.685 1.550
2.310 5.154 2.976
2.310 2.184 -1.261
2.310 0.000 2.522
0.000 5.848 -3.377
0.000 0.000 6.753
0.000 1.489 0.860
0.000 4.892 0.000
0.000 2.446 4.236
```

- E_form (uncorrected) (eV/atom) = -0.23
- total magnetic moment (μB per formula unit) = 0.00

=====

9.
VASP calculation (GGA-PBE) on Tb2SmAu4 after structural relaxation.

POSCAR file:
```
Tb2SmAu4
1.0
-1.793 3.883 2.626
-4.463 -0.351 2.268
1.617 -1.735 8.465
Au Tb Sm
4 2 1
Cartesian
-0.858 -0.251 9.378
0.283 -0.685 6.003
-3.782 2.049 3.981
-4.922 2.483 7.357
-3.595 1.439 9.806
-1.044 0.358 3.553
0.000 0.000 0.000
```

- ΔH_f (0 K) (eV per atom) = -0.676
- total magnetic moment (μB per formula unit) = 0.00

=====

10.
VASP calculation (GGA-PBE) on PaCuHg2O6 after structural relaxation.

POSCAR file:
```
PaCuHg2O6
1.0
-3.224 5.704 1.694
-1.782 2.364 -3.828
-6.660 1.117 0.460
O Hg Pa Cu
6 2 1 1
Cartesian
-2.838 1.465 0.388
-2.433 1.857 -2.199
-4.889 4.637 0.604
-7.593 5.027 -1.190
-5.487 1.877 -1.396
-7.948 4.598 1.395
-6.152 1.292 0.452
-4.761 4.506 -1.437
-7.766 7.191 -1.490
-1.861 2.694 -0.628
```

- E_form (uncorrected) (eV/atom) = -1.41
- total magnetic moment (μB per formula unit) = 0.00

=====

11.
VASP calculation (GGA-PBE) on LiCdCu3 after structural relaxation.

POSCAR file:
```
LiCdCu3
1.0
-3.310 2.321 2.721
-2.911 -3.903 -0.210
2.079 -1.768 4.038
Li Cu Cd
1 3 1
Cartesian
-2.071 -1.675 3.274
-1.655 1.161 1.361
1.040 -0.884 2.019
-1.455 -1.952 -0.105
0.000 0.000 0.000
```

- ΔH_f (0 K) (eV per atom) = 0.709
- energy relative to the lowest polymorph listed for this composition (kJ/mol of atoms) = 19.49
- total magnetic moment (μB per formula unit) = 0.00

=====

12.
VASP calculation (GGA-PBE) on Pr4YTm5 after structural relaxation.

POSCAR file:
```
Pr4YTm5
1.0
-3.210 -1.272 -1.054
1.645 -2.251 -2.293
1.047 -17.475 17.909
Pr Tm Y
4 5 1
Cartesian
0.839 -14.001 14.348
0.418 -6.984 7.157
0.628 -10.491 10.752
0.208 -3.474 3.560
-0.469 -6.984 3.678
-0.259 -10.499 7.281
0.162 -17.530 14.486
-0.048 -14.015 10.884
-0.680 -3.469 0.076
0.000 0.000 0.000
```

- ΔH_f (0 K) (eV per atom) = 0.026
- total magnetic moment (μB per formula unit) = 0.00

=====

13.
VASP calculation (GGA-PBE) on Mg2ZrSiAu after structural relaxation.

POSCAR file:
```
Mg2ZrSiAu
1.0
4.907 0.000 0.000
0.000 4.674 0.000
0.000 0.000 4.907
Mg Au Si Zr
2 1 1 1
Cartesian
0.000 0.000 2.453
2.453 0.000 0.000
0.000 2.337 0.000
0.000 0.000 0.000
2.453 2.337 2.453
```

- E_form (uncorrected) (eV/atom) = 0.43
- total magnetic moment (μB per formula unit) = 0.00

=====

14.
VASP calculation (GGA-PBE) on UInBr5 after structural relaxation.

POSCAR file:
```
UInBr5
1.0
-1.948 7.141 2.638
0.004 0.123 7.857
9.101 5.342 3.780
U Br In
2 10 2
Cartesian
4.551 2.671 1.890
0.000 0.000 0.000
-0.207 5.686 9.114
-1.429 5.662 4.920
2.123 2.019 8.385
3.217 7.218 5.275
3.941 5.388 9.000
8.586 6.944 9.355
7.364 6.920 5.162
5.034 10.587 5.890
3.166 2.981 4.215
3.991 9.625 10.061
1.359 4.766 6.342
5.798 7.839 7.933
```

- E_form (uncorrected) (eV/atom) = -1.11
- total magnetic moment (μB per formula unit) = 2.00

=====

15.
VASP calculation (GGA-PBE) on V3CrN after structural relaxation.

POSCAR file:
```
V3CrN
1.0
-3.248 -1.290 2.419
1.473 -3.984 -0.148
2.313 0.726 3.491
V Cr N
3 1 1
Cartesian
-1.624 -0.645 1.210
0.736 -1.992 -0.074
1.156 0.363 1.746
0.000 0.000 0.000
0.269 -2.274 2.882
```

- E_form (uncorrected) (eV/atom) = 1.80
- energy relative to the lowest polymorph listed for this composition (kJ/mol of atoms) = 212.43
- total magnetic moment (μB per formula unit) = 0.00

=====

16.
VASP calculation (GGA-PBE) on CoCuRh2 after structural relaxation.

POSCAR file:
```
CoCuRh2
1.0
-1.847 -1.928 0.238
1.263 -1.580 -3.005
3.429 -2.919 2.976
Co Rh Cu
1 2 1
Cartesian
0.565 -2.484 -0.640
1.703 -1.450 1.478
0.012 -0.010 0.010
2.280 -3.944 0.848
```

- ΔH_f (0 K) (eV per atom) = 0.095
- energy relative to the lowest polymorph listed for this composition (kJ/mol of atoms) = 6.09
- total magnetic moment (μB per formula unit) = 3.24

=====

17.
VASP calculation (GGA-PBE) on BeMoAs2 after structural relaxation.

POSCAR file:
```
BeMoAs2
1.0
4.542 -0.024 0.105
3.373 3.041 0.105
0.703 0.268 5.177
Be Mo As
1 1 2
Cartesian
4.441 1.693 2.330
2.219 0.846 1.551
7.895 3.010 0.847
6.287 2.397 3.560
```

- ΔH_f (0 K) (eV per atom) = 0.137
- total magnetic moment (μB per formula unit) = 0.00

=====

18.
VASP calculation (GGA-PBE) on Mg5CdHg2Pb2 after structural relaxation.

POSCAR file:
```
Mg5CdHg2Pb2
1.0
3.599 0.000 0.000
0.000 11.706 0.000
0.000 0.000 11.706
Pb Hg Mg Cd
4 4 10 2
Cartesian
0.000 7.938 2.085
0.000 3.768 9.621
0.000 9.621 7.938
0.000 2.085 3.768
0.000 1.546 7.399
0.000 4.307 1.546
0.000 10.160 4.307
0.000 7.399 10.160
1.799 2.386 0.367
1.799 0.367 9.320
1.799 9.320 11.339
1.799 5.486 3.467
1.799 6.220 8.239
1.799 11.339 2.386
1.799 5.853 0.000
1.799 0.000 5.853
1.799 8.239 5.486
1.799 3.467 6.220
0.000 0.000 0.000
0.000 5.853 5.853
```

- ΔH_f (0 K) (eV per atom) = -0.083
- total magnetic moment (μB per formula unit) = 0.00

=====

19.
VASP calculation (GGA-PBE) on Sr3Be2 after structural relaxation.

POSCAR file:
```
Sr3Be2
1.0
2.653 -4.594 0.000
2.653 4.594 0.000
0.000 0.000 6.653
Sr Be
3 2
Cartesian
0.000 0.000 0.000
2.653 1.531 2.189
2.653 -1.531 4.464
2.653 -1.531 0.904
2.653 1.531 5.749
```

- ΔH_f (0 K) (eV per atom) = 0.463
- total magnetic moment (μB per formula unit) = 0.00

=====

20.
VASP calculation (GGA-PBE) on CaPmEr after structural relaxation.

POSCAR file:
```
CaPmEr
1.0
3.641 0.000 0.000
-1.821 3.153 0.000
0.000 0.000 9.114
Er Ca Pm
1 1 1
Cartesian
0.000 2.102 5.965
0.000 0.000 9.073
1.821 1.051 3.191
```

- ΔH_f (0 K) (eV per atom) = 0.063
- energy relative to the lowest polymorph listed for this composition (kJ/mol of atoms) = 2.72
- total magnetic moment (μB per formula unit) = 0.00

=====

no.,calculated total energy (eV per atom)
1,-7.2542
2,-7.4557
3,-0.7770
4,-4.7294
5,-5.1019
6,-4.4080
7,-7.6121
8,-2.9248
9,-4.5454
10,-5.8080
11,-2.3147
12,-4.7683
13,-3.6567
14,-4.3052
15,-7.2575
16,-6.3815
17,-5.8269
18,-1.7736
19,-2.0361
20,-3.7090